(1)
Material: TaMoSe2
Method: DFT, PBE
State: optimized geometry

## Properties
Formation energy (no corrections) (eV/atom): 0.3073
Size of the total moment (μB per formula unit): 0.0
Fermi-level density of states (states/eV/cell): 3.03
V (Å³ per cell): 68.8
Excess energy over the best structure of this formula in the dataset (eV per formula unit): 3.01

```
TaMoSe2
1.0
-2.075 2.075 3.995
2.075 -2.075 3.995
2.075 2.075 -3.995
Ta Mo Se
1 1 2
Direct
0.000 0.000 0.000 Ta
0.250 0.750 0.500 Mo
0.500 0.500 0.000 Se
0.750 0.250 0.500 Se
```

---

(2)
Material: Ta2Te2MoSe4
Method: DFT, PBE
State: optimized geometry

## Properties
Formation energy (no corrections) (eV/atom): -0.6369
Size of the total moment (μB per formula unit): 0.0
Fermi-level density of states (states/eV/cell): 7.66
V (Å³ per cell): 232.4

```
Ta2Te2MoSe4
1.0
3.496 0.000 0.000
-1.748 3.028 0.000
0.000 0.000 21.951
Ta Te Mo Se
2 2 1 4
Direct
0.000 0.000 0.000 Ta
0.333 0.667 0.318 Ta
0.000 0.000 0.590 Te
0.000 0.000 0.758 Te
0.333 0.667 0.674 Mo
0.000 0.000 0.242 Se
0.000 0.000 0.394 Se
0.333 0.667 0.076 Se
0.333 0.667 0.924 Se
```

---

(3)
Material: TaTe4Mo2Se2
Method: DFT, PBE
State: optimized geometry

## Properties
Formation energy (no corrections) (eV/atom): -0.4577
Size of the total moment (μB per formula unit): 0.0
Fermi-level density of states (states/eV/cell): 5.74
V (Å³ per cell): 241.8

```
TaTe4Mo2Se2
1.0
3.523 0.000 0.000
-1.762 3.051 0.000
0.000 0.000 22.494
Ta Te Mo Se
1 4 2 2
Direct
0.000 0.000 0.000 Ta
0.000 0.000 0.235 Te
0.000 0.000 0.398 Te
0.667 0.333 0.570 Te
0.667 0.333 0.732 Te
0.000 0.000 0.651 Mo
0.667 0.333 0.316 Mo
0.667 0.333 0.074 Se
0.667 0.333 0.926 Se
```